Material: Ac2NdHo3
Method: DFT, PBE
State: optimized geometry

a b c (Å): 8.9877 8.9877 7.4695
angles (deg): 101.98 101.98 49.72
Fractional positions:
Ac  0.1791  0.1879  0.0922
Ac  0.1879  0.1791  0.5922
Ac  0.8121  0.8209  0.4078
Ac  0.8209  0.8121  0.9078
Nd  0.2100  0.7900  0.2500
Nd  0.7900  0.2100  0.7500
Ho  0.2141  0.7859  0.7500
Ho  0.3825  0.3862  0.4422
Ho  0.3862  0.3825  0.9422
Ho  0.6138  0.6175  0.0578
Ho  0.6175  0.6138  0.5578
Ho  0.7859  0.2141  0.2500

Results
Total DFT energy (no corrections), eV per atom: -4.3123
D(E_F), states/eV/cell: 15.56
Size of the total moment, μB/f.u.: 0.00
Symmetry: C2/c, No. 15
Energy of formation from the pure elements, eV/atom: 0.141

Material: AcNd7Ho3
Method: DFT, PBE
State: optimized geometry

a b c (Å): 7.2958 7.2958 8.7456
angles (deg): 90.00 90.00 120.00
Fractional positions:
Ac  0.0000  0.0000  0.0000
Nd  0.0006  0.5003  0.9838
Nd  0.3333  0.6667  0.3189
Nd  0.3349  0.1675  0.3371
Nd  0.4997  0.5003  0.9838
Nd  0.4997  0.9994  0.9838
Nd  0.8325  0.1675  0.3371
Nd  0.8325  0.6651  0.3371
Ho  0.1683  0.3367  0.6561
Ho  0.1683  0.8317  0.6561
Ho  0.6633  0.8317  0.6561

Results
Total DFT energy (no corrections), eV per atom: -4.4563
D(E_F), states/eV/cell: 17.27
Size of the total moment, μB/f.u.: 0.00
Symmetry: P3m1, No. 156
Energy of formation from the pure elements, eV/atom: 0.200

Material: Ac6Nd5Ho
Method: DFT, PBE
State: optimized geometry

a b c (Å): 10.1139 10.1139 10.1139
angles (deg): 148.51 117.38 71.78
Fractional positions:
Ac  0.0826  0.3341  0.7485
Ac  0.2477  0.0000  0.2477
Ac  0.4143  0.6659  0.7485
Ac  0.5857  0.3341  0.2515
Ac  0.7523  0.0000  0.7523
Ac  0.9174  0.6659  0.2515
Nd  0.1664  0.1664  0.0000
Nd  0.3338  0.8338  0.5000
Nd  0.5000  0.5000  0.0000
Nd  0.6662  0.1662  0.5000
Nd  0.8336  0.8336  0.0000
Ho  0.0000  0.5000  0.5000

Results
Total DFT energy (no corrections), eV per atom: -4.3925
D(E_F), states/eV/cell: 18.15
Size of the total moment, μB/f.u.: 0.00
Symmetry: Immm, No. 71
Energy of formation from the pure elements, eV/atom: 0.030

Material: Ac7Nd4Ho
Method: DFT, PBE
State: optimized geometry

a b c (Å): 6.7192 7.7140 9.6415
angles (deg): 89.63 76.67 89.92
Fractional positions:
Ac  0.0000  0.0000  0.0000
Ac  0.2190  0.5004  0.3316
Ac  0.2815  0.7536  0.6652
Ac  0.4964  0.2499  0.9956
Ac  0.5036  0.7501  0.0044
Ac  0.7185  0.2464  0.3348
Ac  0.7810  0.4996  0.6684
Nd  0.2210  0.0007  0.3345
Nd  0.2737  0.2497  0.6701
Nd  0.7263  0.7503  0.3299
Nd  0.7790  0.9993  0.6655
Ho  0.0000  0.5000  0.0000

Results
Total DFT energy (no corrections), eV per atom: -4.3279
D(E_F), states/eV/cell: 19.71
Size of the total moment, μB/f.u.: 0.00
Symmetry: P-1, No. 2
Energy of formation from the pure elements, eV/atom: 0.039

Material: AcNd2Ho2
Method: DFT, PBE
State: optimized geometry

a b c (Å): 13.2348 12.1725 6.6144
angles (deg): 84.03 66.17 29.81
Fractional positions:
Ac  0.1250  0.1250  0.1250
Ac  0.8750  0.8750  0.8750
Nd  0.1968  0.5532  0.1968
Nd  0.4468  0.8032  0.4468
Nd  0.5532  0.1968  0.5532
Nd  0.8032  0.4468  0.8032
Ho  0.0000  0.0000  0.0000
Ho  0.0000  0.0000  0.5000
Ho  0.0000  0.5000  0.0000
Ho  0.5000  0.0000  0.0000

Results
Total DFT energy (no corrections), eV per atom: -4.0125
D(E_F), states/eV/cell: 18.80
Distance to the lowest polymorph of the same formula, kcal/mol of atoms: 9.598
Size of the total moment, μB/f.u.: 0.00
Symmetry: Fddd, No. 70
Energy of formation from the pure elements, eV/atom: 0.547

Material: Ac4Nd4Ho3
Method: DFT, PBE
State: optimized geometry

a b c (Å): 11.5819 11.5819 11.5819
angles (deg): 161.32 94.32 88.70
Fractional positions:
Ac  0.1559  0.1559  0.0000
Ac  0.2790  0.0000  0.2790
Ac  0.7210  0.0000  0.7210
Ac  0.8441  0.8441  0.0000
Nd  0.2225  0.3414  0.8812
Nd  0.4602  0.3414  0.1188
Nd  0.5398  0.6586  0.8812
Nd  0.7775  0.6586  0.1188
Ho  0.1017  0.5000  0.6017
Ho  0.5000  0.0000  0.5000
Ho  0.8983  0.5000  0.3983

Results
Total DFT energy (no corrections), eV per atom: -3.9474
D(E_F), states/eV/cell: 19.61
Size of the total moment, μB/f.u.: 0.00
Symmetry: Immm, No. 71
Energy of formation from the pure elements, eV/atom: 0.529